1.
This record from Alexandria describes a relaxed LaHg crystal. The functional is GGA-PBEsol.

extended XYZ file:
```
4
Lattice="4.0526 0.0000 0.0000 -2.0263 3.5097 0.0000 0.0000 0.0000 8.7651" Properties=species:S:1:pos:R:3 pbc="T T T"
La 0.0000 2.3398 2.1913
La 2.0263 1.1699 6.5738
Hg 0.0000 0.0000 0.0000
Hg 0.0000 0.0000 4.3825
```

Output
Final energy in eV per atom: -3.33
ΔH_f (0 K) in eV/atom: -0.374

=====

2.
This record from Alexandria describes a relaxed LaHg3 crystal. The functional is GGA-PBEsol.

extended XYZ file:
```
8
Lattice="5.8938 0.0000 0.0000 0.0000 5.8938 0.0000 0.0000 0.0000 5.8938" Properties=species:S:1:pos:R:3 pbc="T T T"
La 0.0000 0.0000 0.0000
La 2.9469 2.9469 2.9469
Hg 0.0000 1.4735 2.9469
Hg 0.0000 4.4204 2.9469
Hg 1.4735 2.9469 0.0000
Hg 2.9469 0.0000 1.4735
Hg 2.9469 0.0000 4.4204
Hg 4.4204 2.9469 0.0000
```

Output
Final energy in eV per atom: -2.17
ΔH_f (0 K) in eV/atom: -0.410

=====

3.
This record from Alexandria describes a relaxed LaHg crystal. The functional is GGA-PBEsol.

extended XYZ file:
```
24
Lattice="11.0981 0.0000 0.0000 0.0000 9.2541 0.0000 0.0000 0.0000 6.6708" Properties=species:S:1:pos:R:3 pbc="T T T"
La 1.2497 2.3135 0.0000
La 1.2497 2.3135 3.3354
La 2.0697 5.9102 1.6677
La 2.0697 7.9709 5.0031
La 4.1702 0.4301 1.6677
La 4.1702 4.1970 5.0031
La 6.9279 5.0571 1.6677
La 6.9279 8.8240 5.0031
La 9.0284 1.2831 1.6677
La 9.0284 3.3439 5.0031
La 9.8484 6.9406 0.0000
La 9.8484 6.9406 3.3354
Hg 0.8507 5.0401 5.0031
Hg 0.8507 8.8410 1.6677
Hg 4.0749 1.0492 5.0031
Hg 4.0749 3.5778 1.6677
Hg 4.7156 6.9406 0.0000
Hg 4.7156 6.9406 3.3354
Hg 6.3825 2.3135 0.0000
Hg 6.3825 2.3135 3.3354
Hg 7.0232 5.6763 5.0031
Hg 7.0232 8.2049 1.6677
Hg 10.2473 0.4131 5.0031
Hg 10.2473 4.2140 1.6677
```

Output
Final energy in eV per atom: -3.44
ΔH_f (0 K) in eV/atom: -0.486

=====

4.
This record from Alexandria describes a relaxed La3Hg crystal. The functional is GGA-PBEsol.

extended XYZ file:
```
4
Lattice="3.6338 0.0000 0.0000 0.0000 4.5404 0.0000 0.0000 0.0000 7.2636" Properties=species:S:1:pos:R:3 pbc="T T T"
La 0.0000 0.0000 0.0000
La 1.8169 2.2702 2.0184
La 1.8169 2.2702 5.2453
Hg 0.0000 0.0000 3.6318
```

Output
E above lowest polymorph in meV per atom: 29
Final energy in eV per atom: -4.40
ΔH_f (0 K) in eV/atom: -0.245

=====

5.
This record from Alexandria describes a relaxed LaHg3 crystal. The functional is GGA-PBEsol.

extended XYZ file:
```
4
Lattice="4.6641 0.0000 0.0000 0.0000 4.6641 0.0000 0.0000 0.0000 4.6641" Properties=species:S:1:pos:R:3 pbc="T T T"
La 0.0000 0.0000 0.0000
Hg 0.0000 2.3320 2.3320
Hg 2.3320 0.0000 2.3320
Hg 2.3320 2.3320 0.0000
```

Output
Final energy in eV per atom: -2.18
ΔH_f (0 K) in eV/atom: -0.422

=====

6.
This record from Alexandria describes a relaxed La3Hg crystal. The functional is GGA-PBEsol.

extended XYZ file:
```
4
Lattice="-1.8272 5.5996 2.9872 1.8272 -5.5996 2.9872 1.8272 5.5996 -2.9872" Properties=species:S:1:pos:R:3 pbc="T T T"
La 0.0000 0.0000 0.0000
La 1.8272 3.1362 -0.7014
La 0.0000 2.4634 2.2858
Hg 0.0000 5.5996 0.3011
```

Output
E above lowest polymorph in meV per atom: 0
Final energy in eV per atom: -4.42
ΔH_f (0 K) in eV/atom: -0.274

=====

7.
This record from Alexandria describes a relaxed LaHg8 crystal. The functional is GGA-PBEsol.

extended XYZ file:
```
9
Lattice="-4.8926 4.8926 2.2459 4.8926 -4.8926 2.2459 4.8926 4.8926 -2.2459" Properties=species:S:1:pos:R:3 pbc="T T T"
La 0.0000 0.0000 0.0000
Hg 3.3055 0.0000 0.0000
Hg 6.4798 0.0000 0.0000
Hg 3.2135 3.2135 0.0000
Hg 1.6792 -1.6792 2.2459
Hg 0.0000 3.3055 0.0000
Hg 0.0000 6.4798 0.0000
Hg -1.6792 1.6792 2.2459
Hg 1.6792 1.6792 2.2459
```

Output
Final energy in eV per atom: -1.35
ΔH_f (0 K) in eV/atom: -0.251

=====

8.
This record from Alexandria describes a relaxed LaHg crystal. The functional is GGA-PBEsol.

extended XYZ file:
```
4
Lattice="1.8917 -6.1425 0.0000 1.8917 6.1425 0.0000 0.0000 0.0000 4.9153" Properties=species:S:1:pos:R:3 pbc="T T T"
La 1.8917 4.2973 3.6865
La 1.8917 -4.2973 1.2288
Hg 1.8917 0.9243 3.6865
Hg 1.8917 -0.9243 1.2288
```

Output
Final energy in eV per atom: -3.47
ΔH_f (0 K) in eV/atom: -0.516

=====

9.
This record from Alexandria describes a relaxed La3Hg crystal. The functional is GGA-PBEsol.

extended XYZ file:
```
8
Lattice="3.7701 -5.6849 0.0000 3.7701 5.6849 0.0000 0.0000 0.0000 5.5829" Properties=species:S:1:pos:R:3 pbc="T T T"
La 3.7701 4.7153 4.1872
La 2.0024 1.5251 4.1872
La 2.0024 -1.5251 1.3957
La 5.5377 1.5251 4.1872
La 5.5377 -1.5251 1.3957
La 3.7701 -4.7153 1.3957
Hg 3.7701 1.3692 1.3957
Hg 3.7701 -1.3692 4.1872
```

Output
E above lowest polymorph in meV per atom: 26
Final energy in eV per atom: -4.40
ΔH_f (0 K) in eV/atom: -0.248

=====

10.
This record from Alexandria describes a relaxed LaHg crystal. The functional is GGA-PBEsol.

extended XYZ file:
```
2
Lattice="3.8331 0.0000 0.0000 0.0000 3.8331 0.0000 0.0000 0.0000 3.8331" Properties=species:S:1:pos:R:3 pbc="T T T"
La 0.0000 0.0000 0.0000
Hg 1.9165 1.9165 1.9165
```

Output
Final energy in eV per atom: -3.51
ΔH_f (0 K) in eV/atom: -0.549

=====

11.
This record from Alexandria describes a relaxed La7Hg crystal. The functional is GGA-PBEsol.

extended XYZ file:
```
8
Lattice="0.0000 4.9973 4.9973 4.9973 0.0000 4.9973 4.9973 4.9973 0.0000" Properties=species:S:1:pos:R:3 pbc="T T T"
La 0.0000 0.0000 0.0000
La 2.4987 2.4987 0.0000
La 2.4987 0.0000 2.4987
La 4.9973 2.4987 2.4987
La 0.0000 2.4987 2.4987
La 2.4987 4.9973 2.4987
La 2.4987 2.4987 4.9973
Hg 4.9973 4.9973 4.9973
```

Output
Final energy in eV per atom: -4.87
ΔH_f (0 K) in eV/atom: -0.125

=====

12.
This record from Alexandria describes a relaxed La3Hg5 crystal. The functional is GGA-PBEsol.

extended XYZ file:
```
16
Lattice="-6.0324 6.0324 2.9632 6.0324 -6.0324 2.9632 6.0324 6.0324 -2.9632" Properties=species:S:1:pos:R:3 pbc="T T T"
La 8.0331 2.0007 0.0000
La 0.0000 0.0000 1.4816
La 2.0007 4.0317 0.0000
La 4.0317 2.0007 2.9632
La 0.0000 0.0000 4.4448
La -2.0007 4.0317 2.9632
Hg 2.8782 0.9347 0.0000
Hg 5.0977 -3.1543 2.9632
Hg 6.0324 0.0000 1.4816
Hg 5.0977 3.1543 0.0000
Hg 2.8782 -0.9347 2.9632
Hg 3.1543 6.9671 0.0000
Hg 0.9347 2.8782 2.9632
Hg 0.0000 6.0324 1.4816
Hg 0.9347 9.1867 0.0000
Hg 3.1543 5.0977 2.9632
```

Output
E above lowest polymorph in meV per atom: 71
Final energy in eV per atom: -2.82
ΔH_f (0 K) in eV/atom: -0.459

=====

13.
This record from Alexandria describes a relaxed La3Hg crystal. The functional is GGA-PBEsol.

extended XYZ file:
```
4
Lattice="-2.4150 2.4150 5.0270 2.4150 -2.4150 5.0270 2.4150 2.4150 -5.0270" Properties=species:S:1:pos:R:3 pbc="T T T"
La 0.0000 0.0000 0.0000
La 2.4150 0.0000 2.5135
La 0.0000 2.4150 2.5135
Hg 0.0000 0.0000 5.0270
```

Output
E above lowest polymorph in meV per atom: 24
Final energy in eV per atom: -4.40
ΔH_f (0 K) in eV/atom: -0.249

=====

14.
This record from Alexandria describes a relaxed La4Hg crystal. The functional is GGA-PBEsol.

extended XYZ file:
```
5
Lattice="-2.1097 2.1097 9.4560 2.1097 -2.1097 9.4560 2.1097 2.1097 -9.4560" Properties=species:S:1:pos:R:3 pbc="T T T"
La 0.0000 0.0000 1.5306
La 2.1097 0.0000 4.7280
La 0.0000 2.1097 4.7280
La 0.0000 0.0000 17.3814
Hg 0.0000 0.0000 9.4560
```

Output
E above lowest polymorph in meV per atom: 359
Final energy in eV per atom: -4.23
ΔH_f (0 K) in eV/atom: 0.165

=====

15.
This record from Alexandria describes a relaxed LaHg4 crystal. The functional is GGA-PBEsol.

extended XYZ file:
```
5
Lattice="-3.4639 3.4639 2.5147 3.4639 -3.4639 2.5147 3.4639 3.4639 -2.5147" Properties=species:S:1:pos:R:3 pbc="T T T"
La 0.0000 0.0000 0.0000
Hg 3.8111 1.3862 0.0000
Hg 1.3862 3.1168 0.0000
Hg 2.0778 0.3471 2.5147
Hg -0.3471 2.0778 2.5147
```

Output
Final energy in eV per atom: -1.94
ΔH_f (0 K) in eV/atom: -0.418

=====

16.
This record from Alexandria describes a relaxed La3Hg crystal. The functional is GGA-PBEsol.

extended XYZ file:
```
4
Lattice="3.6166 0.0000 0.0000 0.0000 5.6336 0.0000 0.0000 0.0000 5.8019" Properties=species:S:1:pos:R:3 pbc="T T T"
La 0.0000 0.0000 0.0000
La 0.0000 2.8168 2.5510
La 1.8083 2.8168 5.1658
Hg 1.8083 0.0000 2.9734
```

Output
E above lowest polymorph in meV per atom: 31
Final energy in eV per atom: -4.39
ΔH_f (0 K) in eV/atom: -0.243

=====

17.
This record from Alexandria describes a relaxed LaHg3 crystal. The functional is GGA-PBEsol.

extended XYZ file:
```
16
Lattice="6.6729 0.0000 0.0000 -3.3364 5.7789 0.0000 0.0000 0.0000 10.4087" Properties=species:S:1:pos:R:3 pbc="T T T"
La 0.0000 0.0000 0.0000
La 0.0000 0.0000 5.2044
La 0.0000 3.8526 2.6022
La 3.3364 1.9263 7.8066
Hg -1.6682 2.8894 0.0000
Hg -1.6682 2.8894 5.2044
Hg 0.0000 1.9873 7.8066
Hg -1.6154 4.7852 7.8066
Hg 1.7211 0.9937 2.6022
Hg 3.3364 0.0000 0.0000
Hg 3.3364 0.0000 5.2044
Hg 1.6682 2.8894 0.0000
Hg 1.6682 2.8894 5.2044
Hg 1.6154 4.7852 7.8066
Hg 4.9518 0.9937 2.6022
Hg 3.3364 3.7916 2.6022
```

Output
Final energy in eV per atom: -2.21
ΔH_f (0 K) in eV/atom: -0.451

=====

18.
This record from Alexandria describes a relaxed La8Hg crystal. The functional is GGA-PBEsol.

extended XYZ file:
```
9
Lattice="-5.3612 5.3612 2.4862 5.3612 -5.3612 2.4862 5.3612 5.3612 -2.4862" Properties=species:S:1:pos:R:3 pbc="T T T"
La 3.4047 0.0000 0.0000
La 7.3177 0.0000 0.0000
La 0.0000 3.4047 0.0000
La 3.5680 3.5680 0.0000
La 1.7932 -1.7932 2.4862
La -1.7932 1.7932 2.4862
La 1.7932 1.7932 2.4862
La 0.0000 7.3177 0.0000
Hg 0.0000 0.0000 0.0000
```

Output
Final energy in eV per atom: -4.89
ΔH_f (0 K) in eV/atom: -0.078

=====

19.
This record from Alexandria describes a relaxed La3Hg crystal. The functional is GGA-PBEsol.

extended XYZ file:
```
16
Lattice="6.5426 0.0000 0.0000 0.0000 11.0358 0.0000 0.0000 0.0000 6.7690" Properties=species:S:1:pos:R:3 pbc="T T T"
La 0.0466 2.7589 0.9842
La 1.4566 5.9327 2.7376
La 1.4566 10.6209 2.7376
La 1.8147 0.4148 6.1221
La 1.8147 5.1031 6.1221
La 3.2248 8.2768 4.3687
La 3.3179 2.7589 2.4003
La 4.7279 5.9327 0.6469
La 4.7279 10.6209 0.6469
La 5.0860 0.4148 4.0314
La 5.0860 5.1031 4.0314
La 6.4961 8.2768 5.7847
Hg 0.6786 2.7589 4.2524
Hg 2.5927 8.2768 0.8680
Hg 3.9499 2.7589 5.9010
Hg 5.8641 8.2768 2.5165
```

Output
E above lowest polymorph in meV per atom: 22
Final energy in eV per atom: -4.40
ΔH_f (0 K) in eV/atom: -0.251

=====

20.
This record from Alexandria describes a relaxed LaHg crystal. The functional is GGA-PBEsol.

extended XYZ file:
```
4
Lattice="-1.9627 2.5660 5.4433 1.9627 -2.5660 5.4433 1.9627 2.5660 -5.4433" Properties=species:S:1:pos:R:3 pbc="T T T"
La 0.0000 1.2830 1.2256
La 1.9627 1.2830 4.2177
Hg 1.9627 1.2830 -1.5860
Hg 0.0000 1.2830 7.0293
```

Output
Final energy in eV per atom: -3.44
ΔH_f (0 K) in eV/atom: -0.482